No. 1
DFT (PBE) results for a relaxed Ca2CoGeMo crystal.

a b c (Å): 5.545 4.808 5.545
angles (deg): 90.00 90.00 90.00
Site moments in Bohr magnetons follow the coordinates.
Positions (direct):
Mo 0.000 0.500 0.000  2.33
Ca 0.000 0.000 0.500  0.03
Ca 0.500 0.000 0.000  0.05
Co 0.500 0.500 0.500  -1.88
Ge 0.000 0.000 0.000  -0.07

Calculated values
Theoretical density, g/cm³: 3.46
SG: No. 123
Energy of formation, eV/atom: 0.91
D(E_F), states/eV/cell: 7.78

***

No. 2
DFT (PBE) results for a relaxed Al2TcBr crystal.

a b c (Å): 3.089 3.231 7.425
angles (deg): 90.06 90.00 90.00
Positions (direct):
Tc 0.500 0.750 0.750
Br 0.500 0.250 0.250
Al 0.000 0.251 0.935
Al 0.000 0.249 0.565

Calculated values
ΔE_f (raw), eV/atom: -0.23
Theoretical density, g/cm³: 5.20
SG: No. 10
D(E_F), states/eV/cell: 2.11

***

No. 3
DFT (PBE) results for a relaxed ThBiPt crystal.

a b c (Å): 3.677 3.677 6.455
angles (deg): 106.55 106.55 90.00
Positions (direct):
Th 0.585 0.585 0.171
Bi 0.297 0.297 0.595
Pt 0.967 0.967 0.934

Calculated values
Theoretical density, g/cm³: 13.23
SG: No. 107
Energy of formation, eV/atom: -0.73
D(E_F), states/eV/cell: 1.10

***

No. 4
DFT (PBE) results for a relaxed LuNpCo2 crystal.

a b c (Å): 3.234 3.234 6.665
angles (deg): 90.00 90.00 90.00
Site moments in Bohr magnetons follow the coordinates.
Positions (direct):
Np 0.500 0.500 0.000  3.24
Lu 0.500 0.500 0.500  0.13
Co 0.000 0.000 0.775  -0.63
Co 0.000 0.000 0.225  -0.63

Calculated values
Theoretical density, g/cm³: 12.62
SG: No. 123
Energy of formation, eV/atom: -0.02
D(E_F), states/eV/cell: 7.32

***

No. 5
DFT (PBE) results for a relaxed La3Nd8Mg4 crystal.

a b c (Å): 11.903 9.351 9.351
angles (deg): 84.45 130.31 130.31
Positions (direct):
La 0.500 0.500 0.000
La 0.500 0.000 0.500
La 0.500 0.500 0.500
Nd 0.632 0.324 0.324
Nd 0.000 0.712 0.288
Nd 0.947 0.197 0.197
Nd 0.500 0.753 0.247
Nd 0.500 0.247 0.753
Nd 0.053 0.803 0.803
Nd 0.000 0.288 0.712
Nd 0.368 0.676 0.676
Mg 0.500 0.000 0.000
Mg 0.000 0.500 0.000
Mg 0.000 0.000 0.000
Mg 0.000 0.000 0.500

Calculated values
Theoretical density, g/cm³: 5.49
SG: No. 12
Energy of formation, eV/atom: 0.25
D(E_F), states/eV/cell: 21.46

***

No. 6
DFT (PBE) results for a relaxed Ti3P2C crystal.

a b c (Å): 5.758 5.873 5.873
angles (deg): 118.17 99.74 99.74
Positions (direct):
Ti 0.001 0.225 0.369
Ti 0.501 0.369 0.225
Ti 0.000 0.500 0.000
Ti 0.999 0.775 0.631
Ti 0.500 0.000 0.500
Ti 0.499 0.631 0.775
P 0.250 0.921 0.079
P 0.250 0.238 0.762
P 0.750 0.079 0.921
P 0.750 0.762 0.238
C 0.250 0.582 0.418
C 0.750 0.418 0.582

Calculated values
Theoretical density, g/cm³: 4.37
SG: No. 15
Energy of formation, eV/atom: -0.89
D(E_F), states/eV/cell: 4.34

***

No. 7
DFT (PBE) results for a relaxed CeHgBiPb crystal.

a b c (Å): 5.525 5.525 5.525
angles (deg): 60.00 60.00 60.00
Site moments in Bohr magnetons follow the coordinates.
Positions (direct):
Pb 0.250 0.250 0.250  0.01
Bi 0.000 0.000 0.000  0.02
Ce 0.750 0.750 0.750  0.94
Hg 0.500 0.500 0.500  0.00

Calculated values
Theoretical density, g/cm³: 10.54
SG: No. 216
Energy of formation, eV/atom: -0.28
D(E_F), states/eV/cell: 7.12

***

No. 8
DFT (PBE) results for a relaxed DyThNi2 crystal.

a b c (Å): 3.669 4.351 5.518
angles (deg): 90.00 109.14 90.00
Positions (direct):
Dy 0.720 0.000 0.980
Th 0.449 0.500 0.435
Ni 0.161 0.500 0.861
Ni 0.002 0.000 0.542

Calculated values
Theoretical density, g/cm³: 10.22
SG: No. 6
Energy of formation, eV/atom: -0.45
D(E_F), states/eV/cell: 4.21

***

No. 9
DFT (PBE) results for a relaxed Rb3MgSb crystal.

a b c (Å): 9.695 9.695 9.695
angles (deg): 79.73 128.24 124.01
Positions (direct):
Rb 0.896 0.182 0.760
Rb 0.896 0.637 0.214
Rb 0.423 0.682 0.786
Rb 0.183 0.264 0.419
Rb 0.423 0.137 0.240
Rb 0.845 0.764 0.581
Mg 0.548 0.137 0.911
Mg 0.226 0.637 0.089
Sb 0.610 0.938 0.172
Sb 0.766 0.438 0.828

Calculated values
ΔE_f (raw), eV/atom: -0.10
Theoretical density, g/cm³: 2.33
SG: No. 46
D(E_F), states/eV/cell: 8.73

***

No. 10
DFT (PBE) results for a relaxed Sc4Rh crystal.

a b c (Å): 5.021 5.021 5.021
angles (deg): 90.00 90.00 90.00
Positions (direct):
Sc 0.000 0.000 0.000
Sc 0.500 0.000 0.500
Sc 0.000 0.500 0.500
Sc 0.500 0.500 0.000
Rh 0.500 0.500 0.500

Calculated values
Theoretical density, g/cm³: 3.71
SG: No. 221
Energy of formation, eV/atom: -0.16
D(E_F), states/eV/cell: 7.78

***

No. 11
DFT (PBE) results for a relaxed NbAs3I crystal.

a b c (Å): 5.062 5.062 5.062
angles (deg): 90.00 90.00 90.00
Positions (direct):
I 0.500 0.500 0.500
Nb 0.000 0.000 0.000
As 0.000 0.500 0.000
As 0.000 0.000 0.500
As 0.500 0.000 0.000

Calculated values
ΔE_f (raw), eV/atom: 0.25
Theoretical density, g/cm³: 5.69
SG: No. 221
D(E_F), states/eV/cell: 3.54

***

No. 12
DFT (PBE) results for a relaxed NaTaS2N crystal.

a b c (Å): 4.906 4.906 4.022
angles (deg): 90.00 90.00 90.00
Site moments in Bohr magnetons follow the coordinates.
Positions (direct):
Na 0.500 0.500 0.500  0.00
S 0.000 0.500 0.000  0.17
S 0.500 0.000 0.000  0.17
N 0.000 0.000 0.500  0.47
Ta 0.000 0.000 0.000  -0.11

Calculated values
ΔE_f (raw), eV/atom: -0.57
Theoretical density, g/cm³: 4.84
SG: No. 123
D(E_F), states/eV/cell: 2.37

***

No. 13
DFT (PBE) results for a relaxed PrTm2Th6 crystal.

a b c (Å): 9.206 7.070 8.203
angles (deg): 115.53 45.88 90.00
Positions (direct):
Pr 0.000 0.000 0.000
Tm 0.284 0.295 0.590
Tm 0.716 0.705 0.410
Th 0.796 0.166 0.853
Th 0.640 0.328 0.655
Th 0.796 0.687 0.853
Th 0.204 0.834 0.147
Th 0.360 0.672 0.345
Th 0.204 0.313 0.147

Calculated values
Theoretical density, g/cm³: 10.14
SG: No. 12
Energy of formation, eV/atom: 0.32
D(E_F), states/eV/cell: 11.39

***

No. 14
DFT (PBE) results for a relaxed CuAsP crystal.

a b c (Å): 8.224 7.887 2.982
angles (deg): 85.78 73.02 21.20
Positions (direct):
As 0.966 0.966 0.034
Cu 0.329 0.329 0.671
P 0.705 0.705 0.295

Calculated values
Theoretical density, g/cm³: 5.14
SG: No. 42
Energy of formation, eV/atom: 0.37
D(E_F), states/eV/cell: 2.06